Entry 1:
The following is a DFT calculation (PBE) of Te3Os after structural relaxation.

The structure in CIF format:
```
data_Te3Os
_chemical_formula_sum 'Te12 Os4'
_cell_length_a 6.303
_cell_length_b 11.215
_cell_length_c 6.206
_cell_angle_alpha 90.00
_cell_angle_beta 90.00
_cell_angle_gamma 90.00
_space_group_name_H-M_alt 'P n m a'
_space_group_IT_number 62
loop_
_space_group_symop_operation_xyz
'x,y,z'
'-x,-y,-z'
'-x+1/2,-y,z+1/2'
'x+1/2,y,-z+1/2'
'x+1/2,-y+1/2,-z+1/2'
'-x+1/2,y+1/2,z+1/2'
'-x,y+1/2,-z'
'x,-y+1/2,z'
loop_
_atom_site_label
_atom_site_type_symbol
_atom_site_fract_x
_atom_site_fract_y
_atom_site_fract_z
Te1 Te 0.084 0.250 0.146
Te2 Te 0.221 0.604 0.161
Os1 Os 0.041 0.750 0.456
```

Entry 2:
# FeAsAu2 PBE relaxed
# Calculated formation energy: 0.137 eV per atom
data_FeAsAu2
_chemical_formula_sum 'Fe2 As2 Au4'
_cell_length_a 12.992
_cell_length_b 2.862
_cell_length_c 3.891
_cell_angle_alpha 90.00
_cell_angle_beta 104.56
_cell_angle_gamma 90.00
_space_group_name_H-M_alt 'C 1 2/m 1'
_space_group_IT_number 12
loop_
_space_group_symop_operation_xyz
'x,y,z'
'-x,-y,-z'
'-x,y,-z'
'x,-y,z'
'x+1/2,y+1/2,z'
'-x+1/2,-y+1/2,-z'
'-x+1/2,y+1/2,-z'
'x+1/2,-y+1/2,z'
loop_
_atom_site_label
_atom_site_type_symbol
_atom_site_fract_x
_atom_site_fract_y
_atom_site_fract_z
Fe1 Fe 0.000 0.000 0.000
As1 As 0.000 0.500 0.500
Au1 Au 0.185 0.500 0.195

Entry 3:
# Al3BC PBE relaxed
# Polymorph energy (0 for the lowest one): 0.692 eV per atom
# Calculated formation energy: 0.592 eV per atom
data_Al3BC
_chemical_formula_sum 'Al3 B1 C1'
_cell_length_a 3.884
_cell_length_b 3.884
_cell_length_c 3.884
_cell_angle_alpha 90.00
_cell_angle_beta 90.00
_cell_angle_gamma 90.00
_space_group_name_H-M_alt 'P m -3 m'
_space_group_IT_number 221
_space_group_name_Hall '-P 4 2 3'
loop_
_atom_site_label
_atom_site_type_symbol
_atom_site_fract_x
_atom_site_fract_y
_atom_site_fract_z
Al1 Al 0.000 0.000 0.500
B1 B 0.500 0.500 0.500
C1 C 0.000 0.000 0.000

Entry 4:
# Ti2Sb2Pd PBE relaxed
# Polymorph energy (0 for the lowest one): 0.000 eV per atom
data_Ti2Sb2Pd
_chemical_formula_sum 'Ti4 Sb4 Pd2'
_cell_length_a 7.293
_cell_length_b 7.293
_cell_length_c 3.707
_cell_angle_alpha 90.00
_cell_angle_beta 90.00
_cell_angle_gamma 90.00
_space_group_name_H-M_alt 'P 4/m b m'
_space_group_IT_number 127
_space_group_name_Hall '-P 4 2ab'
loop_
_atom_site_label
_atom_site_type_symbol
_atom_site_fract_x
_atom_site_fract_y
_atom_site_fract_z
Ti1 Ti 0.142 0.358 0.000
Sb1 Sb 0.157 0.657 0.500
Pd1 Pd 0.000 0.000 0.500

| no. | final energy (Ry per atom) | magnetic moment (μB/f.u.) |
| --- | --- | --- |
| 1 | -0.3645 | 0.0 |
| 2 | -0.3513 | 2.1 |
| 3 | -0.3552 | 0.0 |
| 4 | -0.4534 | 0.0 |